First-principles (GGA-PBE) data for a relaxed Be2PtN crystal, as listed in Alexandria via LeMat-Bulk.

a = 4.922 Å, b = 4.922 Å, c = 4.958 Å
α = 60.24°, β = 60.24°, γ = 90.00°
Fractional positions:
N: 0.500 0.500 0.000
Be: 0.493 0.125 0.250
Be: 0.375 0.507 0.750
Pt: 0.750 0.250 0.500
N: 0.250 0.750 0.500
Be: 0.257 0.625 0.250
Pt: 0.000 0.000 0.000
Be: 0.875 0.743 0.750

## Properties
Mass density = 8.8 g cm⁻³
V = 10.69 Å³ per atom
DFT total energy = -5.83 eV/atom